No. 1
Below is a geometry-optimized Ac6Ru2RhI3 structure, with properties calculated at the PBE level.

Cell lengths 7.5440, 7.5440, 9.0127 Å; angles 98.02, 98.02, 120.00 degrees
Last column: nearest neighbours and their distance in Å.
Fractional positions:
Ac (0.1003, 0.4385, 0.8156)  2 Ru 2.96, 1 Rh 3.01
Ac (0.2233, 0.2233, 0.1844)  2 Ru 2.96, 1 Rh 3.01
Ac (0.4385, 0.1003, 0.8156)  2 Ru 2.96, 1 Rh 3.01
Ac (0.5615, 0.8997, 0.1844)  2 Ru 2.96, 1 Rh 3.01
Ac (0.7767, 0.7767, 0.8156)  2 Ru 2.96, 1 Rh 3.01
Ac (0.8997, 0.5615, 0.1844)  2 Ru 2.96, 1 Rh 3.01
Ru (0.1666, 0.8334, 0.0000)  6 Ac 2.96
Ru (0.8334, 0.1666, 0.0000)  6 Ac 2.96
Rh (0.5000, 0.5000, 0.0000)  6 Ac 3.01
I (0.0000, 0.0000, 0.5000)  6 Ac 3.69-3.72
I (0.3324, 0.6676, 0.5000)  6 Ac 3.68-3.73
I (0.6676, 0.3324, 0.5000)  6 Ac 3.68-3.73

raw total energy	-5.416	eV/atom
formation energy from raw total energies	-0.82	eV/atom
D(E_F)	0.604	states/eV per atom
space-group type	No. 12

No. 2
Below is a geometry-optimized Ac6Rh3S2I structure, with properties calculated at the PBE level.

Cell lengths 10.1914, 10.1914, 9.3124 Å; angles 108.42, 108.42, 24.28 degrees
Last column: nearest neighbours and their distance in Å.
Fractional positions:
Ac (0.0059, 0.0059, 0.2158)  3 Rh 2.91-3.01
Ac (0.3189, 0.3189, 0.4234)  3 Rh 2.90-3.10
Ac (0.3352, 0.3352, 0.9114)  3 Rh 3.08-3.12, 3 S 3.21-3.24
Ac (0.6648, 0.6648, 0.0886)  3 Rh 3.08-3.12, 3 S 3.21-3.24
Ac (0.6811, 0.6811, 0.5766)  3 Rh 2.90-3.10
Ac (0.9941, 0.9941, 0.7842)  3 Rh 2.91-3.01
Rh (0.1654, 0.1654, 0.3271)  6 Ac 2.90-3.10
Rh (0.5000, 0.5000, 0.0000)  6 Ac 2.91-3.12
Rh (0.8346, 0.8346, 0.6729)  6 Ac 2.90-3.10
S (0.1658, 0.1658, 0.8286)  6 Ac 3.21-3.31
S (0.8342, 0.8342, 0.1714)  6 Ac 3.21-3.31
I (0.5000, 0.5000, 0.5000)  6 Ac 3.44

raw total energy	-5.868	eV/atom
formation energy from raw total energies	-1.16	eV/atom
D(E_F)	0.599	states/eV per atom
space-group type	No. 12

No. 3
Below is a geometry-optimized Ac6SbRh2I3 structure, with properties calculated at the PBE level.

Cell lengths 7.9061, 7.9061, 8.9235 Å; angles 98.48, 98.48, 119.96 degrees
Last column: nearest neighbours and their distance in Å.
Fractional positions:
Ac (0.0719, 0.4353, 0.8077)  2 Rh 3.01, 1 Sb 3.31
Ac (0.2006, 0.2006, 0.1917)  2 Rh 3.01, 1 Sb 3.30
Ac (0.4353, 0.0719, 0.8077)  2 Rh 3.01, 1 Sb 3.31
Ac (0.5647, 0.9281, 0.1923)  2 Rh 3.01, 1 Sb 3.31
Ac (0.7994, 0.7994, 0.8083)  2 Rh 3.01, 1 Sb 3.30
Ac (0.9281, 0.5647, 0.1923)  2 Rh 3.01, 1 Sb 3.31
Sb (0.5000, 0.5000, 0.0000)  6 Ac 3.30-3.31
Rh (0.1672, 0.8328, 0.0000)  6 Ac 3.01
Rh (0.8328, 0.1672, 0.0000)  6 Ac 3.01
I (0.0000, 0.0000, 0.5000)  6 Ac 3.56-3.81
I (0.3400, 0.6600, 0.5000)  6 Ac 3.61-3.82
I (0.6600, 0.3400, 0.5000)  6 Ac 3.61-3.82

raw total energy	-5.018	eV/atom
formation energy from raw total energies	-1.01	eV/atom
D(E_F)	0.560	states/eV per atom
space-group type	No. 12

No. 4
Below is a geometry-optimized Ac8Rh3SeI3 structure, with properties calculated at the PBE level.

Cell lengths 9.7460, 9.7460, 9.7460 Å; angles 54.83, 54.83, 54.83 degrees
Last column: nearest neighbours and their distance in Å.
Fractional positions:
Ac (0.2088, 0.7443, 0.7443)  2 Rh 2.99, 1 Se 3.22
Ac (0.2296, 0.2296, 0.2296)  3 Rh 3.02
Ac (0.2557, 0.2557, 0.7912)  2 Rh 2.99, 1 Se 3.22
Ac (0.2557, 0.7912, 0.2557)  2 Rh 2.99, 1 Se 3.22
Ac (0.7443, 0.2088, 0.7443)  2 Rh 2.99, 1 Se 3.22
Ac (0.7443, 0.7443, 0.2088)  2 Rh 2.99, 1 Se 3.22
Ac (0.7704, 0.7704, 0.7704)  3 Rh 3.02
Ac (0.7912, 0.2557, 0.2557)  2 Rh 2.99, 1 Se 3.22
Rh (0.0000, 0.0000, 0.5000)  6 Ac 2.99-3.02
Rh (0.0000, 0.5000, 0.0000)  6 Ac 2.99-3.02
Rh (0.5000, 0.0000, 0.0000)  6 Ac 2.99-3.02
Se (0.5000, 0.5000, 0.5000)  6 Ac 3.22
I (0.0000, 0.5000, 0.5000)  6 Ac 3.65-3.67
I (0.5000, 0.0000, 0.5000)  6 Ac 3.65-3.67
I (0.5000, 0.5000, 0.0000)  6 Ac 3.65-3.67

raw total energy	-5.173	eV/atom
formation energy from raw total energies	-0.97	eV/atom
D(E_F)	0.584	states/eV per atom
space-group type	No. 166

No. 5
Below is a geometry-optimized Ac6Rh2SeI3 structure, with properties calculated at the PBE level.

Cell lengths 7.7732, 7.7732, 8.9114 Å; angles 98.33, 98.33, 119.98 degrees
Last column: nearest neighbours and their distance in Å.
Fractional positions:
Ac (0.0804, 0.4359, 0.8106)  2 Rh 2.98, 1 Se 3.21
Ac (0.2067, 0.2067, 0.1885)  2 Rh 2.99, 1 Se 3.20
Ac (0.4359, 0.0804, 0.8106)  2 Rh 2.98, 1 Se 3.21
Ac (0.5641, 0.9196, 0.1894)  2 Rh 2.98, 1 Se 3.21
Ac (0.7933, 0.7933, 0.8115)  2 Rh 2.99, 1 Se 3.20
Ac (0.9196, 0.5641, 0.1894)  2 Rh 2.98, 1 Se 3.21
Rh (0.1673, 0.8327, 0.0000)  6 Ac 2.98-2.99
Rh (0.8327, 0.1673, 0.0000)  6 Ac 2.98-2.99
Se (0.5000, 0.5000, 0.0000)  6 Ac 3.20-3.21
I (0.0000, 0.0000, 0.5000)  6 Ac 3.59-3.77
I (0.3376, 0.6624, 0.5000)  6 Ac 3.62-3.78
I (0.6624, 0.3376, 0.5000)  6 Ac 3.62-3.78

raw total energy	-5.089	eV/atom
formation energy from raw total energies	-1.13	eV/atom
D(E_F)	0.541	states/eV per atom
space-group type	No. 12

No. 6
Below is a geometry-optimized Ac8Rh3SeI4 structure, with properties calculated at the PBE level.

Cell lengths 10.0057, 10.0057, 10.0057 Å; angles 53.00, 53.00, 53.00 degrees
Last column: nearest neighbours and their distance in Å.
Fractional positions:
Ac (0.2099, 0.7395, 0.7395)  2 Rh 2.98, 1 Se 3.17
Ac (0.2281, 0.2281, 0.2281)  3 Rh 3.02
Ac (0.2605, 0.2605, 0.7901)  2 Rh 2.98, 1 Se 3.17
Ac (0.2605, 0.7901, 0.2605)  2 Rh 2.98, 1 Se 3.17
Ac (0.7395, 0.2099, 0.7395)  2 Rh 2.98, 1 Se 3.17
Ac (0.7395, 0.7395, 0.2099)  2 Rh 2.98, 1 Se 3.17
Ac (0.7719, 0.7719, 0.7719)  3 Rh 3.02
Ac (0.7901, 0.2605, 0.2605)  2 Rh 2.98, 1 Se 3.17
Rh (0.0000, 0.0000, 0.5000)  6 Ac 2.98-3.02
Rh (0.0000, 0.5000, 0.0000)  6 Ac 2.98-3.02
Rh (0.5000, 0.0000, 0.0000)  6 Ac 2.98-3.02
Se (0.5000, 0.5000, 0.5000)  6 Ac 3.17
I (0.0000, 0.0000, 0.0000)  6 Ac 3.61
I (0.0000, 0.5000, 0.5000)  6 Ac 3.74-3.77
I (0.5000, 0.0000, 0.5000)  6 Ac 3.74-3.77
I (0.5000, 0.5000, 0.0000)  6 Ac 3.74-3.77

raw total energy	-5.124	eV/atom
formation energy from raw total energies	-1.09	eV/atom
D(E_F)	0.507	states/eV per atom
space-group type	No. 166

No. 7
Below is a geometry-optimized Ac6SiRh2I3 structure, with properties calculated at the PBE level.

Cell lengths 7.7700, 7.7700, 8.9081 Å; angles 98.34, 98.34, 119.99 degrees
Last column: nearest neighbours and their distance in Å.
Fractional positions:
Ac (0.0914, 0.4379, 0.8120)  2 Rh 3.00-3.01, 1 Si 3.13
Ac (0.2161, 0.2161, 0.1876)  2 Rh 3.01, 1 Si 3.13
Ac (0.4379, 0.0914, 0.8120)  2 Rh 3.00-3.01, 1 Si 3.13
Ac (0.5621, 0.9086, 0.1880)  2 Rh 3.00-3.01, 1 Si 3.13
Ac (0.7839, 0.7839, 0.8124)  2 Rh 3.01, 1 Si 3.13
Ac (0.9086, 0.5621, 0.1880)  2 Rh 3.00-3.01, 1 Si 3.13
Si (0.5000, 0.5000, 0.0000)  6 Ac 3.13
Rh (0.1670, 0.8330, 0.0000)  6 Ac 3.00-3.01
Rh (0.8330, 0.1670, 0.0000)  6 Ac 3.00-3.01
I (0.0000, 0.0000, 0.5000)  6 Ac 3.64-3.75
I (0.3371, 0.6629, 0.5000)  6 Ac 3.67-3.75
I (0.6629, 0.3371, 0.5000)  6 Ac 3.67-3.75

raw total energy	-5.054	eV/atom
formation energy from raw total energies	-0.94	eV/atom
D(E_F)	0.690	states/eV per atom
space-group type	No. 12

No. 8
Below is a geometry-optimized Ac8Si3RhI4 structure, with properties calculated at the PBE level.

Cell lengths 9.7435, 9.7435, 9.7435 Å; angles 55.94, 55.94, 55.94 degrees
Last column: nearest neighbours and their distance in Å.
Fractional positions:
Ac (0.2341, 0.2341, 0.2341)  3 Si 3.12
Ac (0.2413, 0.7262, 0.7262)  1 Rh 3.01, 2 Si 3.11
Ac (0.2738, 0.2738, 0.7587)  1 Rh 3.01, 2 Si 3.11
Ac (0.2738, 0.7587, 0.2738)  1 Rh 3.01, 2 Si 3.11
Ac (0.7262, 0.2413, 0.7262)  1 Rh 3.01, 2 Si 3.11
Ac (0.7262, 0.7262, 0.2413)  1 Rh 3.01, 2 Si 3.11
Ac (0.7587, 0.2738, 0.2738)  1 Rh 3.01, 2 Si 3.11
Ac (0.7659, 0.7659, 0.7659)  3 Si 3.12
Si (0.0000, 0.0000, 0.5000)  6 Ac 3.11-3.12
Si (0.0000, 0.5000, 0.0000)  6 Ac 3.11-3.12
Si (0.5000, 0.0000, 0.0000)  6 Ac 3.11-3.12
Rh (0.5000, 0.5000, 0.5000)  6 Ac 3.01
I (0.0000, 0.0000, 0.0000)  6 Ac 3.70
I (0.0000, 0.5000, 0.5000)  6 Ac 3.59-3.61
I (0.5000, 0.0000, 0.5000)  6 Ac 3.59-3.61
I (0.5000, 0.5000, 0.0000)  6 Ac 3.59-3.61

raw total energy	-4.826	eV/atom
formation energy from raw total energies	-0.91	eV/atom
D(E_F)	0.825	states/eV per atom
space-group type	No. 166

No. 9
Below is a geometry-optimized Ac6SiRh2I2 structure, with properties calculated at the PBE level.

Cell lengths 7.7250, 7.7250, 8.6304 Å; angles 98.14, 98.14, 118.69 degrees
Last column: nearest neighbours and their distance in Å.
Fractional positions:
Ac (0.0925, 0.4336, 0.8062)  2 Rh 3.00-3.01, 1 Si 3.11
Ac (0.2100, 0.2100, 0.1896)  2 Rh 3.00, 1 Si 3.16
Ac (0.4336, 0.0925, 0.8062)  2 Rh 3.00-3.01, 1 Si 3.11
Ac (0.5664, 0.9075, 0.1938)  2 Rh 3.00-3.01, 1 Si 3.11
Ac (0.7900, 0.7900, 0.8104)  2 Rh 3.00, 1 Si 3.16
Ac (0.9075, 0.5664, 0.1938)  2 Rh 3.00-3.01, 1 Si 3.11
Si (0.5000, 0.5000, 0.0000)  6 Ac 3.11-3.16
Rh (0.1700, 0.8300, 0.0000)  6 Ac 3.00-3.01
Rh (0.8300, 0.1700, 0.0000)  6 Ac 3.00-3.01
I (0.3390, 0.6610, 0.5000)  6 Ac 3.64-3.68
I (0.6610, 0.3390, 0.5000)  6 Ac 3.64-3.68

raw total energy	-5.098	eV/atom
formation energy from raw total energies	-0.75	eV/atom
D(E_F)	1.023	states/eV per atom
space-group type	No. 12

No. 10
Below is a geometry-optimized Ac6Si2RhI3 structure, with properties calculated at the PBE level.

Cell lengths 10.6737, 10.6737, 9.9553 Å; angles 107.47, 107.47, 24.26 degrees
Last column: nearest neighbours and their distance in Å.
Fractional positions:
Ac (0.0080, 0.0080, 0.2122)  2 Rh 3.05, 1 Si 3.10
Ac (0.3217, 0.3217, 0.4424)  3 Si 3.09-3.14
Ac (0.3525, 0.3525, 0.8895)  1 Rh 2.93, 2 Si 3.12
Ac (0.6475, 0.6475, 0.1105)  1 Rh 2.93, 2 Si 3.12
Ac (0.6783, 0.6783, 0.5576)  3 Si 3.09-3.14
Ac (0.9920, 0.9920, 0.7878)  2 Rh 3.05, 1 Si 3.10
Si (0.1638, 0.1638, 0.3361)  6 Ac 3.09-3.14
Si (0.8362, 0.8362, 0.6639)  6 Ac 3.09-3.14
Rh (0.5000, 0.5000, 0.0000)  6 Ac 2.93-3.05
I (0.1738, 0.1738, 0.8356)  6 Ac 3.59-3.71
I (0.5000, 0.5000, 0.5000)  6 Ac 3.59-3.68
I (0.8262, 0.8262, 0.1644)  6 Ac 3.59-3.71

raw total energy	-4.876	eV/atom
formation energy from raw total energies	-0.92	eV/atom
D(E_F)	0.697	states/eV per atom
space-group type	No. 12

No. 11
Below is a geometry-optimized AcSmRhI structure, with properties calculated at the PBE level.

Cell lengths 8.7548, 8.7548, 8.7548 Å; angles 28.07, 28.07, 28.07 degrees
Last column: nearest neighbours and their distance in Å.
Fractional positions:
Ac (0.0000, 0.0000, 0.0000)  3 Rh 2.95
Sm (0.2108, 0.2108, 0.2108)  3 Rh 2.85
Rh (0.6019, 0.6019, 0.6019)  3 Sm 2.85, 3 Ac 2.95
I (0.7808, 0.7808, 0.7808)  3 Sm 3.46, 3 Ac 3.78

raw total energy	-5.414	eV/atom
formation energy from raw total energies	-0.98	eV/atom
D(E_F)	0.032	states/eV per atom
space-group type	No. 160

No. 12
Below is a geometry-optimized Ac2SmRh2I2 structure, with properties calculated at the PBE level.

Cell lengths 9.5390, 9.5390, 9.5390 Å; angles 148.26, 148.26, 45.50 degrees
Last column: nearest neighbours and their distance in Å.
Fractional positions:
Ac (0.1071, 0.1071, 0.0000)  4 Rh 3.22, 1 I 3.55
Ac (0.8929, 0.8929, 0.0000)  4 Rh 3.22, 1 I 3.55
Sm (0.5000, 0.5000, 0.0000)  4 Rh 2.61
Rh (0.0000, 0.5000, 0.5000)  2 Sm 2.61
Rh (0.5000, 0.0000, 0.5000)  2 Sm 2.61
I (0.3087, 0.3087, 0.0000)  1 Sm 3.37, 1 Ac 3.55
I (0.6913, 0.6913, 0.0000)  1 Sm 3.37, 1 Ac 3.55

raw total energy	-5.203	eV/atom
formation energy from raw total energies	-0.81	eV/atom
D(E_F)	0.586	states/eV per atom
space-group type	No. 139